## PrTc4Ge12 (GGA-PBE)

Data for a relaxed structure of PrTc4Ge12.

Output
Calculated density ... 6.8 g cm⁻³
Formation enthalpy at 0 K ... 160 meV/atom
DOS(E_F) ... 0.898 states/eV/atom
Raw total energy ... -5.82 eV per atom

Cell lengths 8.8132, 8.8132, 8.8132 Å; angles 90.00, 90.00, 90.00 degrees
With the nearest neighbours (Å) after each atom.
Space group Im-3 (No. 204)
Asymmetric unit:
Pr  0.0000  0.0000  0.0000 (multiplicity 2)  12 Ge 3.32
Tc  0.2500  0.2500  0.2500 (multiplicity 8)  6 Ge 2.48
Ge  0.0000  0.3413  0.1594 (multiplicity 24)  2 Tc 2.48

---

## SmTlCo4 (GGA-PBE)

Data for a relaxed structure of SmTlCo4.

Output
Calculated density ... 10.7 g cm⁻³
Formation enthalpy at 0 K ... 43 meV/atom
DOS(E_F) ... 1.533 states/eV/atom
Raw total energy ... -5.88 eV per atom

Cell lengths 7.1654, 7.1654, 7.1654 Å; angles 90.00, 90.00, 90.00 degrees
With the nearest neighbours (Å) after each atom.
Space group F-43m (No. 216)
Asymmetric unit:
Sm  0.0000  0.0000  0.0000 (multiplicity 4)  12 Co 2.97, 4 Tl 3.10
Tl  0.2500  0.2500  0.7500 (multiplicity 4)  12 Co 2.97, 4 Sm 3.10
Co  0.1245  0.1245  0.3755 (multiplicity 16)  6 Co 2.52-2.54

---

## ZrGeSe (GGA-PBE)

Data for a relaxed structure of ZrGeSe.

Output
Calculated density ... 6.9 g cm⁻³
DOS(E_F) ... 0.180 states/eV/atom
E_form (uncorrected) ... -300 kJ/mol of formula units
Raw total energy ... -6.59 eV per atom

Cell lengths 3.7407, 3.7407, 8.3747 Å; angles 90.00, 90.00, 90.00 degrees
With the nearest neighbours (Å) after each atom.
Space group P4/nmm (No. 129, origin choice 2)
Asymmetric unit:
Zr  0.2500  0.2500  0.2372 (multiplicity 2)  5 Se 2.82-3.00, 4 Ge 2.89
Ge  0.2500  0.7500  0.5000 (multiplicity 2)  4 Ge 2.65, 4 Zr 2.89
Se  0.2500  0.2500  0.8795 (multiplicity 2)  5 Zr 2.82-3.00

---

## Cs3PaTe3 (GGA-PBE)

Data for a relaxed structure of Cs3PaTe3.

Output
Calculated density ... 4.5 g cm⁻³
DOS(E_F) ... 0.348 states/eV/atom
E_form (uncorrected) ... -631 kJ/mol of formula units
Raw total energy ... -4.00 eV per atom

Cell lengths 10.1858, 15.3327, 10.0890 Å; angles 90.00, 109.88, 90.00 degrees
With the nearest neighbours (Å) after each atom.
Space group C2/m (No. 12)
Asymmetric unit:
Cs  0.0000  0.1696  0.0000 (multiplicity 4)  6 Te 3.81-4.14
Cs  0.0000  0.3001  0.5000 (multiplicity 4)  6 Te 3.98-4.43
Cs  0.1029  0.5000  0.8791 (multiplicity 4)  5 Te 3.64-3.95, 1 Cs 3.72
Pa  0.1094  0.0000  0.6118 (multiplicity 4)  1 Pa 2.58
Te  0.1713  0.0000  0.3341 (multiplicity 4)  2 Pa 3.07-3.09
Te  0.2256  0.3516  0.2192 (multiplicity 8)  1 Pa 2.99

---

## BeCoPb4 (GGA-PBE)

Data for a relaxed structure of BeCoPb4.

Output
Calculated density ... 8.4 g cm⁻³
Formation enthalpy at 0 K ... 1122 meV/atom
DOS(E_F) ... 1.364 states/eV/atom
Raw total energy ... -3.16 eV per atom

Cell lengths 8.9220, 8.9220, 8.9220 Å; angles 90.00, 90.00, 90.00 degrees
With the nearest neighbours (Å) after each atom.
Space group F-43m (No. 216)
Asymmetric unit:
Be  0.0000  0.0000  0.0000 (multiplicity 4)  12 Pb 3.70, 4 Co 3.86
Co  0.2500  0.2500  0.7500 (multiplicity 4)  12 Pb 3.70, 4 Be 3.86
Pb  0.1247  0.1247  0.3753 (multiplicity 16)  6 Pb 3.15-3.16

---

## TaBeAs2 (GGA-PBE)

Data for a relaxed structure of TaBeAs2.

Output
Calculated density ... 8.8 g cm⁻³
Formation enthalpy at 0 K ... 629 meV/atom
DOS(E_F) ... 0.990 states/eV/atom
Raw total energy ... -5.59 eV per atom

Cell lengths 6.3618, 6.3618, 6.3618 Å; angles 90.00, 90.00, 90.00 degrees
With the nearest neighbours (Å) after each atom.
Space group F-43m (No. 216)
Asymmetric unit:
Ta  0.0000  0.0000  0.0000 (multiplicity 4)  4 As 2.75, 4 Be 2.75
Be  0.2500  0.2500  0.7500 (multiplicity 4)  4 Ta 2.75, 4 As 2.75
As  0.0000  0.0000  0.5000 (multiplicity 4)  4 As 2.75, 4 Be 2.75
As  0.2500  0.2500  0.2500 (multiplicity 4)  4 Ta 2.75, 4 As 2.75

---

## PmHBr3 (GGA-PBE)

Data for a relaxed structure of PmHBr3.

Output
Calculated density ... 3.3 g cm⁻³
DOS(E_F) ... 0.000 states/eV/atom
Raw total energy ... -4.04 eV per atom

Cell lengths 5.7073, 8.8164, 16.0649 Å; angles 90.00, 104.73, 90.00 degrees
With the nearest neighbours (Å) after each atom.
Space group P2/c (No. 13)
Asymmetric unit:
Pm  0.1478  0.1215  0.1227 (multiplicity 4)  3 Br 2.66-2.90
H  0.0279  0.3463  0.7312 (multiplicity 4)  1 H 0.75
Br  0.2316  0.1507  0.5358 (multiplicity 4)  2 Pm 2.88-2.90
Br  0.2652  0.4109  0.1102 (multiplicity 4)  1 Pm 2.66
Br  0.2929  0.0683  0.3135 (multiplicity 4)  3 Pm 2.98-3.13

---

## AgPW2 (GGA-PBE)

Data for a relaxed structure of AgPW2.

Output
Calculated density ... 13.3 g cm⁻³
Formation enthalpy at 0 K ... 814 meV/atom
DOS(E_F) ... 0.415 states/eV/atom
Raw total energy ... -7.73 eV per atom

Cell lengths 6.3280, 6.3280, 6.3280 Å; angles 90.00, 90.00, 90.00 degrees
With the nearest neighbours (Å) after each atom.
Space group F-43m (No. 216)
Asymmetric unit:
Ag  0.0000  0.0000  0.0000 (multiplicity 4)  4 P 2.74, 4 W 2.74
P  0.2500  0.2500  0.7500 (multiplicity 4)  4 W 2.74, 4 Ag 2.74
W  0.0000  0.0000  0.5000 (multiplicity 4)  4 W 2.74, 4 P 2.74
W  0.2500  0.2500  0.2500 (multiplicity 4)  4 W 2.74, 4 Ag 2.74